An optimized crystal structure of NdHg2Ge, computed with PBE-GGA.

## Properties
- magnetic moment (Bohr magnetons per cell) = 0.0
- formation enthalpy at 0 K (meV per atom) = -412
- crystal system = tetragonal

Lattice parameters (Å, degrees): 4.4000 4.4000 4.9881 90.00 90.00 90.00
Atoms (fractional coordinates):
Nd: 0.0000 0.0000 0.0000
Hg: 0.0000 0.5000 0.5000
Hg: 0.5000 0.0000 0.5000
Ge: 0.5000 0.5000 0.0000